This record from the Open Quantum Materials Database describes an optimized crystal structure of Pr2NiSb4Pd. The functional is PBE.

Summary:
* E: -5.38 eV per atom
* M_tot: 0.031 μB per formula unit

a = 4.472 Å, b = 4.472 Å, c = 9.929 Å
α = 90.00°, β = 90.00°, γ = 90.00°
Space group P-4m2 (No. 115)
Inequivalent atoms, fractional coordinates:
Pr (0.000, 0.500, 0.245) [2 per cell]
Ni (0.000, 0.000, 0.000) [1 per cell]
Sb (0.000, 0.000, 0.500) [1 per cell]
Sb (0.000, 0.500, 0.857) [2 per cell]
Sb (0.500, 0.500, 0.500) [1 per cell]
Pd (0.500, 0.500, 0.000) [1 per cell]

This record from the Open Quantum Materials Database describes an optimized crystal structure of PrNiSb2Pd. The functional is PBE.

Summary:
* E: -5.53 eV per atom
* M_tot: 0.000 μB per formula unit

a = 4.608 Å, b = 4.608 Å, c = 10.116 Å
α = 90.00°, β = 90.00°, γ = 90.00°
Space group P4/nmm (No. 129, origin choice 2)
Inequivalent atoms, fractional coordinates:
Pr (0.250, 0.250, 0.249) [2 per cell]
Ni (0.250, 0.250, 0.613) [2 per cell]
Sb (0.250, 0.250, 0.860) [2 per cell]
Sb (0.250, 0.750, 0.500) [2 per cell]
Pd (0.250, 0.750, 0.000) [2 per cell]

- Which value of M_tot does entry 1 give?
  0.031 μB per formula unit

- Which formula does entry 1 have?
  Pr2NiSb4Pd